1) Compound: CdNiRu
Source: Alexandria via LeMat-Bulk
Functional: PBE-GGA
Structure: relaxed

Cell lengths 6.076, 6.075, 6.075 Å; angles 153.45, 153.45, 37.90 degrees
Fractional coordinates of all 3 atoms:
1 Cd 0.995 0.995 0.000
2 Ni 0.320 0.320 0.000
3 Ru 0.685 0.685 0.000

Output
The total moment comes out at 0.00 Bohr magnetons per cell. For the calculated density, the calculation gives 10.1 g/cm³.


2) Compound: CdNiRu
Source: Alexandria via LeMat-Bulk
Functional: PBE-GGA
Structure: relaxed

Cell lengths 4.686, 5.438, 9.321 Å; angles 131.10, 120.07, 30.55 degrees
Fractional coordinates of all 6 atoms:
1 Cd 0.584 0.211 0.363
2 Cd 0.230 0.773 0.071
3 Ni 0.557 0.805 0.425
4 Ni 0.266 0.179 0.008
5 Ru 0.755 0.729 0.708
6 Ru 0.746 0.255 0.726

Output
The total moment comes out at 0.00 Bohr magnetons per cell. For the calculated density, the calculation gives 10.1 g/cm³.


3) Compound: CdNiRu
Source: Alexandria via LeMat-Bulk
Functional: PBE-GGA
Structure: relaxed

Cell lengths 2.786, 2.786, 6.663 Å; angles 90.00, 90.00, 120.00 degrees
Fractional coordinates of all 3 atoms:
1 Cd 0.000 0.000 0.009
2 Ni 0.667 0.333 0.351
3 Ru 0.333 0.667 0.640

Output
The total moment comes out at 0.00 Bohr magnetons per cell. For the calculated density, the calculation gives 10.1 g/cm³.


Least stable structure among those shown: 3).